The following is a PBE-GGA calculation of Sm4AgIr2 after structural relaxation, from Alexandria.

Unit cell a=7.7377 b=7.7366 c=7.7249 alpha=109.12 beta=109.13 gamma=110.23
Closest atoms and distances in Å follow each position.
Fractional coordinates of all 14 atoms:
Sm 0.9904 0.2447 0.3837  2 Ir 2.79-2.90, 1 Ag 2.99
Sm 0.3925 0.5045 0.2488  2 Ir 2.80-2.91, 1 Ag 3.00
Sm 0.8607 0.6064 0.6161  2 Ir 2.79-2.90, 1 Ag 2.99
Sm 0.7543 0.1424 0.7490  2 Ir 2.80-2.91, 1 Ag 3.00
Sm 0.3936 0.0056 0.2512  2 Ir 2.80-2.91, 1 Ag 3.00
Sm 0.2553 0.1433 0.7510  2 Ir 2.80-2.91, 1 Ag 3.00
Sm 0.4945 0.7404 0.8839  2 Ir 2.79-2.90, 1 Ag 2.99
Sm 0.8564 0.6108 0.1162  2 Ir 2.79-2.90, 1 Ag 2.99
Ag 0.2512 0.7512 0.4999  6 Sm 2.99-3.34
Ag 0.0011 0.0010 0.0000  6 Sm 2.99-3.34
Ir 0.4934 0.3738 0.6173  4 Sm 2.79-2.91
Ir 0.7568 0.8763 0.3830  4 Sm 2.79-2.91
Ir 0.6237 0.2433 0.1172  4 Sm 2.79-2.91
Ir 0.1261 0.5063 0.8825  4 Sm 2.79-2.91

Properties
Calculated formation energy: -50.2 kJ per mole of atoms
ρ: 10.2 g/cm3
VASP energy: -6.16 eV per atom
SG: Fdd2, No. 43
Spin magnetization: 0.0 μB per formula unit


The following is a PBE-GGA calculation of Sm4AgIr after structural relaxation, from Alexandria.

Unit cell a=8.0956 b=8.0956 c=8.0956 alpha=106.49 beta=106.49 gamma=115.61
Closest atoms and distances in Å follow each position.
Fractional coordinates of all 12 atoms:
Sm 0.2685 0.9630 0.6945  1 Ir 2.76, 2 Ag 2.96-3.00
Sm 0.7316 0.4363 0.7047  2 Ir 2.81-2.87, 1 Ag 3.04
Sm 0.7130 0.5185 0.1945  1 Ir 2.76, 2 Ag 2.96-3.00
Sm 0.1863 0.9816 0.2047  2 Ir 2.81-2.87, 1 Ag 3.04
Sm 0.3240 0.5185 0.8055  1 Ir 2.76, 2 Ag 2.96-3.00
Sm 0.7769 0.9816 0.7953  2 Ir 2.81-2.87, 1 Ag 3.04
Sm 0.7316 0.0269 0.2953  2 Ir 2.81-2.87, 1 Ag 3.04
Sm 0.2685 0.5740 0.3055  1 Ir 2.76, 2 Ag 2.96-3.00
Ag 0.2482 0.2482 0.0000  6 Sm 2.96-3.04
Ag 0.9982 0.4982 0.5000  6 Sm 2.96-3.04
Ir 0.7516 0.7516 0.0000  6 Sm 2.76-2.87
Ir 0.5016 0.0016 0.5000  6 Sm 2.76-2.87

Properties
Distance to the lowest polymorph of the same formula: 0.2300 eV per atom
Calculated formation energy: -19.4 kJ per mole of atoms
ρ: 7.4 g/cm3
VASP energy: -5.30 eV per atom
SG: I4_1md, No. 109
Spin magnetization: 0.0 μB per formula unit